First-principles (GGA-PBEsol) data for an optimized crystal structure of HgPt2Se3, as listed in Alexandria.

For the uncorrected formation energy, the calculation gives -0.3679 eV per atom. Its density of states at the Fermi level is 1.045 states/eV/f.u.

Lattice parameters (Å, degrees): 7.3776 7.3776 5.2698 90.00 90.00 120.00
Space group P-3m1 (No. 164)
One atom of each set of equivalent atoms:
Hg  0.3333  0.6667  0.3483 [2 per cell]
Pt  0.0000  0.0000  0.0000 [1 per cell]
Pt  0.0000  0.5000  0.0000 [3 per cell]
Se  0.1720  0.3440  0.7574 [6 per cell]